Below is an optimized crystal structure of LiDy2Pd5, with properties calculated at the GGA-PBE level.

a b c (Å): 5.9409 5.9409 7.9313
angles (deg): 90.00 90.00 90.00
Space group I4mm (No. 107)
Unique sites:
Li 0.0000 0.0000 0.0000 (multiplicity 2)
Dy 0.0000 0.5000 0.0012 (multiplicity 4)
Pd 0.0000 0.0000 0.5013 (multiplicity 2)
Pd 0.2499 0.2499 0.2511 (multiplicity 8)

Output
Raw total energy: -87.559 eV for the cell shown